# 1
DFT (PBEsol) results for a geometry-optimized CuReAg structure. Values from VASP.

```
&SYSTEM
  ibrav = 0, nat = 3, ntyp = 3
/
ATOMIC_SPECIES
Cu 63.55 Cu.upf
Re 186.21 Re.upf
Ag 107.87 Ag.upf
ATOMIC_POSITIONS crystal
Cu 0.000 0.000 0.000
Re 0.750 0.750 0.750
Ag 0.500 0.500 0.500
CELL_PARAMETERS angstrom
0.000 2.959 2.959
2.959 0.000 2.959
2.959 2.959 0.000
```

## Properties
symmetry	F-43m (216)

# 2
DFT (PBEsol) results for a geometry-optimized CuReAg2 structure. Values from VASP.

```
&SYSTEM
  ibrav = 0, nat = 4, ntyp = 3
/
ATOMIC_SPECIES
Cu 63.55 Cu.upf
Re 186.21 Re.upf
Ag 107.87 Ag.upf
ATOMIC_POSITIONS crystal
Cu 0.000 0.000 0.000
Re 0.743 0.743 0.743
Ag 0.253 0.253 0.253
Ag 0.497 0.497 0.497
CELL_PARAMETERS angstrom
1.365 0.788 9.138
-1.365 0.788 9.138
0.000 -1.577 9.138
```

## Properties
symmetry	R3m (160)
distance to the lowest polymorph of the same formula	0.00	eV/f.u.

# 3
DFT (PBEsol) results for a geometry-optimized TiCuAg2Rh structure. Values from VASP.

```
&SYSTEM
  ibrav = 0, nat = 5, ntyp = 4
/
ATOMIC_SPECIES
Ti 47.87 Ti.upf
Cu 63.55 Cu.upf
Ag 107.87 Ag.upf
Rh 102.91 Rh.upf
ATOMIC_POSITIONS crystal
Ti 0.000 0.000 0.000
Cu 0.000 0.000 0.500
Ag 0.000 0.500 0.000
Ag 0.500 0.000 0.000
Rh 0.500 0.500 0.500
CELL_PARAMETERS angstrom
4.699 0.000 0.000
0.000 4.699 0.000
0.000 0.000 4.367
```

## Properties
symmetry	P4/mmm (123)

# 4
DFT (PBEsol) results for a geometry-optimized CuAgRu2 structure. Values from VASP.

```
&SYSTEM
  ibrav = 0, nat = 4, ntyp = 3
/
ATOMIC_SPECIES
Cu 63.55 Cu.upf
Ag 107.87 Ag.upf
Ru 101.07 Ru.upf
ATOMIC_POSITIONS crystal
Cu 0.000 0.000 0.000
Ag 0.244 0.744 0.500
Ru 0.515 0.515 0.000
Ru 0.755 0.255 0.500
CELL_PARAMETERS angstrom
-1.415 2.239 4.344
1.415 -2.239 4.344
1.415 2.239 -4.344
```

## Properties
symmetry	Imm2 (44)
distance to the lowest polymorph of the same formula	0.59	eV/f.u.

# 5
DFT (PBEsol) results for a geometry-optimized CuAgRu2 structure. Values from VASP.

```
&SYSTEM
  ibrav = 0, nat = 4, ntyp = 3
/
ATOMIC_SPECIES
Cu 63.55 Cu.upf
Ag 107.87 Ag.upf
Ru 101.07 Ru.upf
ATOMIC_POSITIONS crystal
Cu 0.000 0.000 0.000
Ag 0.751 0.751 0.210
Ru 0.252 0.252 0.709
Ru 0.508 0.508 0.530
CELL_PARAMETERS angstrom
4.361 -1.343 0.000
4.361 1.343 0.000
-0.771 0.000 4.701
```

## Properties
symmetry	Cm (8)
distance to the lowest polymorph of the same formula	0.00	eV/f.u.

# 6
DFT (PBEsol) results for a geometry-optimized CuAgRu2 structure. Values from VASP.

```
&SYSTEM
  ibrav = 0, nat = 4, ntyp = 3
/
ATOMIC_SPECIES
Cu 63.55 Cu.upf
Ag 107.87 Ag.upf
Ru 101.07 Ru.upf
ATOMIC_POSITIONS crystal
Cu 0.000 0.000 0.000
Ag 0.500 0.500 0.000
Ru 0.000 0.500 0.500
Ru 0.500 0.000 0.500
CELL_PARAMETERS angstrom
2.756 0.000 0.000
0.000 4.375 0.000
0.000 0.000 4.614
```

## Properties
symmetry	Pmmm (47)
distance to the lowest polymorph of the same formula	0.70	eV/f.u.

# 7
DFT (PBEsol) results for a geometry-optimized CuAg2Ru structure. Values from VASP.

```
&SYSTEM
  ibrav = 0, nat = 4, ntyp = 3
/
ATOMIC_SPECIES
Cu 63.55 Cu.upf
Ag 107.87 Ag.upf
Ru 101.07 Ru.upf
ATOMIC_POSITIONS crystal
Cu 0.000 0.000 0.000
Ag 0.000 0.000 0.490
Ag 0.500 0.500 0.758
Ru 0.500 0.500 0.228
CELL_PARAMETERS angstrom
1.415 -2.252 0.000
1.415 2.252 0.000
0.000 0.000 9.186
```

## Properties
symmetry	Cmm2 (35)
distance to the lowest polymorph of the same formula	0.28	eV/f.u.

# 8
DFT (PBEsol) results for a geometry-optimized Cu2AgRu structure. Values from VASP.

```
&SYSTEM
  ibrav = 0, nat = 4, ntyp = 3
/
ATOMIC_SPECIES
Cu 63.55 Cu.upf
Ag 107.87 Ag.upf
Ru 101.07 Ru.upf
ATOMIC_POSITIONS crystal
Cu 0.000 0.000 0.000
Cu 0.250 0.250 0.250
Ag 0.500 0.500 0.500
Ru 0.750 0.750 0.750
CELL_PARAMETERS angstrom
0.000 3.002 3.002
3.002 0.000 3.002
3.002 3.002 0.000
```

## Properties
symmetry	F-43m (216)
distance to the lowest polymorph of the same formula	0.73	eV/f.u.

| no. | formation energy from the elements (eV/atom) | density (Mg/m³) |
| --- | --- | --- |
| 1 | 1.5413 | 11.46 |
| 2 | 0.2991 | 13.10 |
| 3 | 1.5766 | 7.41 |
| 4 | 0.5338 | 11.27 |
| 5 | 0.3866 | 11.26 |
| 6 | 0.5609 | 11.15 |
| 7 | 0.3523 | 10.79 |
| 8 | 0.5327 | 10.32 |